(1)
Entry from Alexandria via LeMat-Bulk: a relaxed structure of NaPmOs2O8 (PBE). Values from VASP.

Values from the calculation:
The theoretical density comes out at 6782 kg/m³. The total magnetic moment comes out at 3.37 μB per formula unit. For the calculated total energy, the calculation gives -7.206 eV/atom. The crystal system is tetragonal. The uncorrected formation energy is -1.524 eV per atom.

```
&SYSTEM
  ibrav = 0, nat = 12, ntyp = 4
/
ATOMIC_SPECIES
Os 190.23 Os.upf
O 16.00 O.upf
Na 22.99 Na.upf
Pm 145.00 Pm.upf
ATOMIC_POSITIONS crystal
Os 0.500 0.500 0.000
Os 0.250 0.750 0.500
O 0.740 0.824 0.156
O 0.579 0.687 0.670
O 0.668 0.260 0.844
O 0.416 0.332 0.156
O 0.017 0.421 0.330
O 0.091 0.983 0.670
O 0.313 0.909 0.330
O 0.176 0.584 0.844
Na 0.750 0.250 0.500
Pm 0.000 0.000 0.000
CELL_PARAMETERS angstrom
-3.184 -2.809 3.236
-1.263 -3.238 -4.053
6.680 -0.440 1.787
```


(2)
Entry from Alexandria via LeMat-Bulk: a relaxed structure of LaAg2Hg (PBE). Values from VASP.

Values from the calculation:
The theoretical density comes out at 8516 kg/m³. The total magnetic moment comes out at 0.00 μB per formula unit. For the calculated total energy, the calculation gives -2.713 eV/atom. The crystal system is tetragonal. Its formation energy is 0.02 eV/atom.

```
&SYSTEM
  ibrav = 0, nat = 8, ntyp = 3
/
ATOMIC_SPECIES
Hg 200.59 Hg.upf
La 138.91 La.upf
Ag 107.87 Ag.upf
ATOMIC_POSITIONS crystal
Hg 0.000 0.000 0.000
Hg 0.750 0.250 0.500
La 0.250 0.750 0.500
La 0.500 0.500 0.000
Ag 0.875 0.943 0.750
Ag 0.375 0.307 0.750
Ag 0.057 0.625 0.250
Ag 0.693 0.125 0.250
CELL_PARAMETERS angstrom
-3.774 -0.492 2.608
2.601 -1.591 3.463
0.582 8.445 6.515
```


(3)
Entry from Alexandria via LeMat-Bulk: a relaxed structure of In4Sn2Pb3 (PBE). Values from VASP.

Values from the calculation:
The theoretical density comes out at 8438 kg/m³. The total magnetic moment comes out at 0.00 μB per formula unit. For the calculated total energy, the calculation gives -3.315 eV/atom. The crystal system is monoclinic. Its formation energy is 0.03 eV/atom.

```
&SYSTEM
  ibrav = 0, nat = 9, ntyp = 3
/
ATOMIC_SPECIES
Pb 207.20 Pb.upf
In 114.82 In.upf
Sn 118.71 Sn.upf
ATOMIC_POSITIONS crystal
Pb 0.667 0.226 0.440
Pb 0.000 0.000 0.000
Pb 0.333 0.774 0.560
In 0.000 0.675 0.325
In 0.333 0.447 0.887
In 0.667 0.553 0.113
In 0.000 0.325 0.675
Sn 0.669 0.885 0.778
Sn 0.331 0.115 0.222
CELL_PARAMETERS angstrom
3.404 0.000 0.729
1.587 5.634 0.902
-1.034 -1.570 13.148
```


(4)
Entry from Alexandria via LeMat-Bulk: a relaxed structure of LiAc2Al2 (PBE). Values from VASP.

Values from the calculation:
The theoretical density comes out at 5787 kg/m³. The total magnetic moment comes out at 0.00 μB per formula unit. For the calculated total energy, the calculation gives -3.700 eV/atom. The crystal system is triclinic. Its formation energy is -0.18 eV/atom.

```
&SYSTEM
  ibrav = 0, nat = 10, ntyp = 3
/
ATOMIC_SPECIES
Al 26.98 Al.upf
Ac 227.00 Ac.upf
Li 6.94 Li.upf
ATOMIC_POSITIONS crystal
Al 0.650 0.192 0.108
Al 0.190 0.950 0.428
Al 0.810 0.050 0.572
Al 0.350 0.808 0.892
Ac 0.406 0.488 0.322
Ac 0.594 0.512 0.678
Ac 0.940 0.775 0.106
Ac 0.060 0.225 0.894
Li 0.276 0.899 0.655
Li 0.724 0.101 0.345
CELL_PARAMETERS angstrom
4.662 -0.010 -0.836
-2.539 5.706 -0.831
-0.364 -1.339 11.486
```


(5)
Entry from Alexandria via LeMat-Bulk: a relaxed structure of La10Nd4Er (PBE). Values from VASP.

Values from the calculation:
The theoretical density comes out at 6635 kg/m³. The total magnetic moment comes out at 0.00 μB per formula unit. For the calculated total energy, the calculation gives -4.603 eV/atom. The crystal system is tetragonal. Its formation energy is 0.26 eV/atom.

```
&SYSTEM
  ibrav = 0, nat = 15, ntyp = 3
/
ATOMIC_SPECIES
Nd 144.24 Nd.upf
La 138.91 La.upf
Er 167.26 Er.upf
ATOMIC_POSITIONS crystal
Nd 0.000 0.702 0.297
Nd 0.297 0.703 0.702
Nd 0.000 0.298 0.703
Nd 0.703 0.297 0.298
La 0.250 0.500 0.500
La 0.177 0.000 0.297
La 0.474 0.000 0.703
La 0.750 0.500 0.500
La 0.526 0.297 0.000
La 0.823 0.703 0.000
La 0.823 0.000 0.703
La 0.526 0.000 0.297
La 0.474 0.703 0.000
La 0.177 0.297 0.000
Er 0.000 0.000 0.000
CELL_PARAMETERS angstrom
8.630 0.000 3.897
4.315 7.509 1.948
1.225 0.000 8.792
```


(6)
Entry from Alexandria via LeMat-Bulk: a relaxed structure of SrCdTe2 (PBE). Values from VASP.

Values from the calculation:
The theoretical density comes out at 5361 kg/m³. The total magnetic moment comes out at 0.00 μB per formula unit. For the calculated total energy, the calculation gives -3.035 eV/atom. The crystal system is monoclinic. The uncorrected formation energy is -0.815 eV per atom.

```
&SYSTEM
  ibrav = 0, nat = 4, ntyp = 3
/
ATOMIC_SPECIES
Cd 112.41 Cd.upf
Te 127.60 Te.upf
Sr 87.62 Sr.upf
ATOMIC_POSITIONS crystal
Cd 0.500 0.250 0.250
Te 0.000 0.207 0.988
Te 0.000 0.293 0.512
Sr 0.500 0.750 0.750
CELL_PARAMETERS angstrom
4.121 0.000 0.000
0.000 4.364 -0.111
0.000 1.247 7.810
```


(7)
Entry from Alexandria via LeMat-Bulk: a relaxed structure of InPb2C (PBE). Values from VASP.

Values from the calculation:
The theoretical density comes out at 9266 kg/m³. The total magnetic moment comes out at 0.31 μB per formula unit. The energy above the most stable polymorph in this dataset is 409 meV/atom. For the calculated total energy, the calculation gives -3.481 eV/atom. The crystal system is cubic. Its formation energy is 1.36 eV/atom.

```
&SYSTEM
  ibrav = 0, nat = 4, ntyp = 3
/
ATOMIC_SPECIES
Pb 207.20 Pb.upf
In 114.82 In.upf
C 12.01 C.upf
ATOMIC_POSITIONS crystal
Pb 0.250 0.250 0.250
Pb 0.750 0.750 0.750
In 0.500 0.500 0.500
C 0.000 0.000 0.000
CELL_PARAMETERS angstrom
0.000 3.647 3.647
3.647 0.000 3.647
3.647 3.647 0.000
```


(8)
Entry from Alexandria via LeMat-Bulk: a relaxed structure of RbAgH2 (PBE). Values from VASP.

Values from the calculation:
The theoretical density comes out at 5061 kg/m³. The total magnetic moment comes out at 0.00 μB per formula unit. The energy above the most stable polymorph in this dataset is 339 meV/atom. For the calculated total energy, the calculation gives -2.364 eV/atom. The crystal system is trigonal.

```
&SYSTEM
  ibrav = 0, nat = 4, ntyp = 3
/
ATOMIC_SPECIES
H 1.01 H.upf
Rb 85.47 Rb.upf
Ag 107.87 Ag.upf
ATOMIC_POSITIONS crystal
H 0.723 0.723 0.831
H 0.277 0.277 0.169
Rb 0.500 0.500 0.500
Ag 0.000 0.000 0.000
CELL_PARAMETERS angstrom
-2.949 -1.759 -0.596
0.134 -3.292 -1.139
-0.914 -3.675 5.179
```


Question: Which of these has the highest theoretical density?
Answer: InPb2C


Question: What is the theoretical density in the third record?
Answer: 8438 kg/m³


Question: calculated total energy of number 6 (SrCdTe2)?
Answer: -3.035 eV/atom


Question: Among the records above, which one has the highest total magnetic moment?
Answer: NaPmOs2O8